DFT (meta-GGA SCAN) results for Pt3Au at its PBEsol-relaxed geometry.

a = 2.800 Å, b = 3.948 Å, c = 5.591 Å
α = 90.00°, β = 90.00°, γ = 90.00°
Space group Pmmm (No. 47)
Inequivalent atoms, fractional coordinates:
Pt (0.000, 0.000, 0.000)
Pt (0.500, 0.500, 0.244)
Au (0.000, 0.000, 0.500)

formation energy: 0.097 eV/atom

---

DFT (meta-GGA SCAN) results for Sb2TeRuI at its PBEsol-relaxed geometry.

a = 5.634 Å, b = 5.634 Å, c = 5.582 Å
α = 90.00°, β = 90.00°, γ = 90.00°
Space group P4/mmm (No. 123)
Inequivalent atoms, fractional coordinates:
Sb (0.000, 0.500, 0.000)
Te (0.000, 0.000, 0.500)
Ru (0.500, 0.500, 0.500)
I (0.000, 0.000, 0.000)

formation energy (no corrections): 1902 meV/atom

---

DFT (meta-GGA SCAN) results for K6Hg7 at its PBEsol-relaxed geometry.

a = 6.4691 Å, b = 6.4691 Å, c = 34.5456 Å
α = 90.00°, β = 90.00°, γ = 120.00°
Space group R-3m (No. 166, hexagonal axes)
Inequivalent atoms, fractional coordinates:
K (0.0000, 0.0000, 0.0560)
K (0.0000, 0.0000, 0.1553)
K (0.0000, 0.0000, 0.3314)
Hg (0.0000, 0.0000, 0.5000)
Hg (0.0025, 0.5013, 0.9077)

formation energy: -0.233 eV/atom

---

DFT (meta-GGA SCAN) results for BaRhNF2 at its PBEsol-relaxed geometry.

a = 4.494 Å, b = 4.494 Å, c = 3.732 Å
α = 90.00°, β = 90.00°, γ = 90.00°
Space group P4/mmm (No. 123)
Inequivalent atoms, fractional coordinates:
Ba (0.000, 0.000, 0.000)
Rh (0.500, 0.500, 0.500)
N (0.500, 0.500, 0.000)
F (0.000, 0.500, 0.500)

formation energy (no corrections): -1668 meV/atom

---

DFT (meta-GGA SCAN) results for HoTaO4 at its PBEsol-relaxed geometry.

a = 5.086 Å, b = 5.390 Å, c = 5.265 Å
α = 90.00°, β = 96.62°, γ = 90.00°
Space group P2/c (No. 13)
Inequivalent atoms, fractional coordinates:
Ho (0.000, 0.235, 0.250)
Ta (0.500, 0.304, 0.750)
O (0.249, 0.078, 0.598)
O (0.265, 0.440, 0.990)

formation energy (no corrections): -3570 meV/atom

---

DFT (meta-GGA SCAN) results for ErSF at its PBEsol-relaxed geometry.

a = 3.686 Å, b = 3.686 Å, c = 6.719 Å
α = 90.00°, β = 90.00°, γ = 90.00°
Space group P4/nmm (No. 129, origin choice 2)
Inequivalent atoms, fractional coordinates:
Er (0.250, 0.250, 0.227)
S (0.250, 0.250, 0.642)
F (0.250, 0.750, 0.000)

formation energy (no corrections): -3302 meV/atom

---

In order of appearance, size of the total moment = 0.3 2.7 0.0 0.0 0.0 0.0 μB/f.u..
In order of appearance, E_tot = -69.84 -34.77 -40.78 -19.61 -26.99 -24.47 eV per atom.